# TaNbSe6

TaNbSe6 after structural relaxation (GGA-PBE, Alexandria via LeMat-Bulk).

Structure (POSCAR):
```
TaNbSe6
1.0
-2.627 0.498 5.959
-6.492 -0.327 1.064
-3.317 -5.541 3.552
Ta Nb Se
1 1 6
Direct
0.000 0.000 0.000 Ta
0.500 0.500 0.500 Nb
0.058 0.434 0.754 Se
0.644 0.145 0.855 Se
0.641 0.148 0.353 Se
0.356 0.855 0.145 Se
0.942 0.566 0.246 Se
0.359 0.852 0.647 Se
```

Values from the calculation:
Space-group type: No. 2
Raw formation energy in meV per atom: -404